# 1
NpZn2I8: relaxed, PBE.

Geometry as extended XYZ:
```
11
Lattice="7.027 0.201 0.341 0.353 8.544 1.883 0.257 0.284 8.748" Properties=species:S:1:pos:R:3 pbc="T T T"
I 5.621 1.245 6.690
I 1.872 3.368 4.079
I 5.765 5.661 6.893
I 5.215 1.757 2.187
I 2.422 7.273 8.785
I 2.016 7.784 4.282
I 1.957 2.758 8.459
I 5.680 6.271 2.513
Zn 2.469 1.810 2.213
Zn 5.168 7.219 8.759
Np 0.000 0.000 0.000
```

Output
calculated volume: 520 Å³/cell
total energy: -34.70 eV/cell


# 2
NpZnI6: relaxed, PBE.

Geometry as extended XYZ:
```
8
Lattice="-7.199 -0.276 -4.407 6.514 -2.787 -2.349 -1.218 -4.588 6.311" Properties=species:S:1:pos:R:3 pbc="T T T"
I 4.090 -5.652 2.106
I 1.516 -1.526 -2.378
I -5.993 -1.999 -2.550
I 0.211 -5.813 -0.295
I -2.114 -1.838 -0.150
I -2.201 -1.537 -4.378
Zn 0.000 0.000 0.000
Np -3.600 -0.138 -2.203
```

Output
calculated volume: 361 Å³/cell
total energy: -28.30 eV/cell


# 3
ZrNpI2: relaxed, PBE.

Geometry as extended XYZ:
```
4
Lattice="3.599 0.000 0.000 1.799 3.117 0.000 1.799 1.039 10.670" Properties=species:S:1:pos:R:3 pbc="T T T"
Np 0.000 0.000 0.000
I 5.398 3.117 3.228
I 1.799 1.039 7.442
Zr 3.599 2.078 5.335
```

Output
calculated volume: 120 Å³/cell
total energy: -24.61 eV/cell


# 4
I3O8: relaxed, PBE.

Geometry as extended XYZ:
```
44
Lattice="-0.887 5.394 5.634 -6.328 -3.420 2.278 6.442 -6.748 7.762" Properties=species:S:1:pos:R:3 pbc="T T T"
I -1.375 -0.007 3.290
I 0.597 -2.483 5.052
I 4.837 -4.650 7.863
I -1.370 -2.290 10.623
I -2.618 -4.328 5.846
I 1.845 -0.445 9.829
I -4.590 -1.853 4.084
I 0.602 -4.766 12.385
I -1.277 0.096 7.682
I 0.504 -4.870 7.993
I -5.610 -0.123 7.812
I 3.817 -2.921 11.591
O -1.197 3.262 5.316
O -2.230 -1.136 11.739
O 0.697 -4.748 14.186
O 1.200 -3.494 6.836
O 3.780 -4.560 10.798
O -4.552 -4.279 3.545
O 2.663 -2.178 10.016
O 1.457 -3.638 3.936
O 0.091 1.157 3.394
O -1.972 -1.279 8.839
O -0.864 -5.931 12.281
O 2.161 -5.430 8.440
O -1.758 -3.897 7.372
O -1.469 -6.603 9.091
O 0.696 1.829 6.584
O -1.470 -0.025 1.489
O -0.959 -0.877 6.138
O -0.477 -3.174 12.293
O 1.959 -1.268 5.175
O 3.779 -0.494 12.130
O -0.295 -1.599 3.383
O -3.175 -1.567 2.961
O 2.402 -3.206 12.714
O -2.732 -3.505 10.500
O 0.186 -3.897 9.537
O 0.985 -0.876 8.304
O -2.934 0.657 7.235
O -3.436 -2.595 5.659
O -4.553 -0.214 4.877
O 0.415 -0.845 10.975
O 0.424 -8.035 10.359
O -1.188 -3.928 4.700
```

Output
calculated volume: 719 Å³/cell
excess energy over the best structure of this formula in the dataset: 1.04 kcal/mol of atoms
total energy: -182.43 eV/cell